# 1
CeTmTh6: optimized geometry, PBE.

Cell: 5.002 5.002 10.033 Å, 90.00 90.00 90.00°
Atoms (fractional coordinates):
Ce  0.000  0.000  0.500
Tm  0.000  0.000  0.000
Th  0.500  0.500  0.000
Th  0.500  0.500  0.500
Th  0.500  0.000  0.253
Th  0.500  0.000  0.747
Th  0.000  0.500  0.253
Th  0.000  0.500  0.747

Computed properties:
SG	P4/mmm, No. 123
calculated volume	31.4	Å³/atom
ΔH_f (0 K)	35	meV per atom

# 2
CeTmTh2: optimized geometry, PBE.

Cell: 5.586 5.586 5.586 Å, 60.00 60.00 60.00°
Atoms (fractional coordinates):
Tm  0.000  0.000  0.000
Ce  0.500  0.500  0.500
Th  0.250  0.250  0.250
Th  0.750  0.750  0.750

Computed properties:
SG	Fm-3m, No. 225
calculated volume	30.8	Å³/atom
ΔH_f (0 K)	180	meV per atom

# 3
Ce2TmTh: optimized geometry, PBE.

Cell: 3.406 3.406 12.180 Å, 81.96 81.96 60.00°
Atoms (fractional coordinates):
Tm  0.000  0.000  0.000
Ce  0.087  0.087  0.738
Ce  0.913  0.913  0.262
Th  0.500  0.500  0.500

Computed properties:
SG	R-3m, No. 166
calculated volume	30.2	Å³/atom
ΔH_f (0 K)	204	meV per atom

# 4
CeTmTh2: optimized geometry, PBE.

Cell: 3.402 6.769 11.223 Å, 94.03 90.00 104.55°
Atoms (fractional coordinates):
Ce  0.124  0.249  0.012
Ce  0.876  0.751  0.988
Tm  0.635  0.269  0.510
Tm  0.365  0.731  0.490
Th  0.749  0.497  0.241
Th  0.489  0.978  0.235
Th  0.511  0.022  0.765
Th  0.251  0.503  0.759

Computed properties:
SG	C2/m, No. 12
calculated volume	31.2	Å³/atom
ΔH_f (0 K)	162	meV per atom

# 5
CeTm5Th: optimized geometry, PBE.

Cell: 6.027 9.156 8.628 Å, 85.72 76.88 70.78°
Atoms (fractional coordinates):
Ce  0.510  0.980  0.750
Ce  0.490  0.020  0.250
Tm  0.389  0.628  0.853
Tm  0.456  0.313  0.541
Tm  0.018  0.372  0.353
Tm  0.852  0.296  0.750
Tm  0.231  0.313  0.959
Tm  0.769  0.687  0.041
Tm  0.148  0.704  0.250
Tm  0.982  0.628  0.647
Tm  0.544  0.687  0.459
Tm  0.611  0.372  0.147
Th  0.000  0.000  0.000
Th  0.000  0.000  0.500

Computed properties:
SG	C2/c, No. 15
calculated volume	31.3	Å³/atom
ΔH_f (0 K)	216	meV per atom

# 6
CeYTmTh: optimized geometry, PBE.

Cell: 5.640 5.640 5.640 Å, 60.00 60.00 60.00°
Atoms (fractional coordinates):
Y  0.750  0.750  0.750
Tm  0.500  0.500  0.500
Ce  0.000  0.000  0.000
Th  0.250  0.250  0.250

Computed properties:
SG	F-43m, No. 216
calculated volume	31.7	Å³/atom
ΔH_f (0 K)	222	meV per atom

# 7
Ce2Y6Tm3Th: optimized geometry, PBE.

Cell: 6.130 6.130 11.726 Å, 95.01 95.01 119.98°
Atoms (fractional coordinates):
Ce  0.333  0.667  0.000
Ce  0.667  0.333  0.000
Y  0.916  0.584  0.751
Y  0.751  0.751  0.249
Y  0.084  0.416  0.249
Y  0.584  0.916  0.751
Y  0.249  0.249  0.751
Y  0.416  0.084  0.249
Tm  0.167  0.833  0.500
Tm  0.833  0.167  0.500
Tm  0.500  0.500  0.500
Th  0.000  0.000  0.000

Computed properties:
SG	C2/m, No. 12
calculated volume	31.3	Å³/atom
ΔH_f (0 K)	52	meV per atom

# 8
CeYTmTh: optimized geometry, PBE.

Cell: 3.543 3.543 11.533 Å, 90.00 98.85 120.00°
Atoms (fractional coordinates):
Ce  0.304  0.550  0.869
Y  0.969  0.382  0.367
Tm  0.471  0.134  0.620
Th  0.133  0.964  0.113

Computed properties:
SG	R3m, No. 160
calculated volume	30.8	Å³/atom
ΔH_f (0 K)	26	meV per atom

# 9
Ce2ThU: optimized geometry, PBE.

Cell: 3.310 3.310 9.672 Å, 90.00 90.00 90.00°
Atoms (fractional coordinates):
U  0.500  0.500  0.000
Ce  0.000  0.000  0.765
Ce  0.000  0.000  0.235
Th  0.500  0.500  0.500

Computed properties:
SG	P4/mmm, No. 123
calculated volume	26.5	Å³/atom
ΔH_f (0 K)	196	meV per atom

# 10
CeThU: optimized geometry, PBE.

Cell: 3.298 3.298 7.659 Å, 102.43 102.43 90.00°
Atoms (fractional coordinates):
U  0.664  0.664  0.328
Ce  0.007  0.007  0.014
Th  0.329  0.329  0.659

Computed properties:
SG	I4mm, No. 107
calculated volume	26.4	Å³/atom
ΔH_f (0 K)	259	meV per atom

# 11
CeThU4: optimized geometry, PBE.

Cell: 5.802 5.802 5.802 Å, 60.00 60.00 60.00°
Atoms (fractional coordinates):
U  0.625  0.625  0.125
U  0.625  0.125  0.625
U  0.625  0.625  0.625
U  0.125  0.625  0.625
Ce  0.250  0.250  0.250
Th  0.000  0.000  0.000

Computed properties:
SG	F-43m, No. 216
calculated volume	23.0	Å³/atom
ΔH_f (0 K)	176	meV per atom

# 12
CeThU: optimized geometry, PBE.

Cell: 6.176 6.176 5.374 Å, 64.37 64.37 64.73°
Atoms (fractional coordinates):
Th  0.705  0.705  0.488
Th  0.242  0.242  0.451
U  0.878  0.250  0.129
U  0.250  0.878  0.129
Ce  0.662  0.111  0.807
Ce  0.111  0.662  0.807

Computed properties:
SG	Cm, No. 8
calculated volume	26.5	Å³/atom
ΔH_f (0 K)	196	meV per atom

For each record above, in turn, the calculated D(E_F) values are 1.822 2.562 2.448 1.791 2.194 3.028 1.960 2.026 2.995 2.809 3.209 2.529 states/eV/atom.
For each record above, in turn, the calculated spin magnetization values are 0.0 0.0 1.6 0.0 2.2 2.6 1.3 0.4 2.1 1.7 3.1 0.0 Bohr magnetons per cell.